# Co2HOsRu (PBE, optimized geometry)
data_Co2HOsRu
_space_group_name_H-M_alt 'P 4/m m m'
_space_group_IT_number 123
_space_group_name_Hall '-P 4 2'
_cell_length_a 3.719
_cell_length_b 3.719
_cell_length_c 3.736
_cell_angle_alpha 90.00
_cell_angle_beta 90.00
_cell_angle_gamma 90.00
loop_
_atom_site_label
_atom_site_type_symbol
_atom_site_fract_x
_atom_site_fract_y
_atom_site_fract_z
_atom_site_occupancy
Co1 Co 0.000 0.500 0.000 1
H1 H 0.000 0.000 0.000 1
Os1 Os 0.500 0.500 0.500 1
Ru1 Ru 0.000 0.000 0.500 1
# ρ	13.2	g/cm3
# excess energy over the best structure of this formula in the dataset	0.00	kJ per mole of atoms
# N(E_F)	0.919	states/eV/atom